(1)
Density functional theory data (PBE-GGA) for a geometry-optimized Na2LaNdSn2 structure.

The space group is P3m1 (No. 156) and the conventional cell measures 5.5541, 5.5541 and 6.6307 Å, with angles of 90.00, 90.00 and 120.00 degrees. Symmetry generates all atoms from Na at (0.0000, 0.0000, 0.0000), Na at (0.0000, 0.0000, 0.5005), La at (0.6667, 0.3333, 0.2548), Nd at (0.3333, 0.6667, 0.7549), Sn at (0.3333, 0.6667, 0.2550) and Sn at (0.6667, 0.3333, 0.7550).

The value obtained for the total energy is -3.926 eV/atom. The mass density comes out at 5.31 g cm⁻³.

(2)
Density functional theory data (PBE-GGA) for a geometry-optimized NaLaNi structure.

The space group is F-43m (No. 216) and the conventional cell measures 6.803, 6.803 and 6.803 Å, with angles of 90.00, 90.00 and 90.00 degrees. Symmetry generates all atoms from Na at (0.000, 0.000, 0.000), La at (0.000, 0.000, 0.500) and Ni at (0.250, 0.250, 0.750).

The value obtained for the total energy is -3.812 eV/atom. The value obtained for the energy relative to the lowest polymorph listed for this composition is 0 kJ/mol of formula units. The mass density comes out at 4.65 g cm⁻³.